[1]
Density functional theory data (PBE-GGA) for an optimized crystal structure of RbSiSe3.

a b c (Å): 7.0979 7.0979 7.0979
angles (deg): 77.56 77.56 77.56
With the nearest neighbours (Å) after each atom.
Fractional coordinates of all 10 atoms:
Se 0.2902 0.0469 0.7974  1 Si 2.19
Se 0.7974 0.2902 0.0469  1 Si 2.19
Se 0.2974 0.5469 0.7902  1 Si 2.19
Se 0.5469 0.7902 0.2974  1 Si 2.19
Se 0.7902 0.2974 0.5469  1 Si 2.19
Se 0.0469 0.7974 0.2902  1 Si 2.19
Si 0.0440 0.0440 0.0440  3 Se 2.19
Si 0.5440 0.5440 0.5440  3 Se 2.19
Rb 0.2930 0.2930 0.2930  6 Se 3.63, 2 Si 3.66-3.69
Rb 0.7930 0.7930 0.7930  6 Se 3.63, 2 Si 3.66-3.69

Results
Energy relative to the elements, uncorrected (eV/atom): -0.44
SG: R3c, No. 161
V (A^3/atom): 33.56
DFT total energy (eV per atom): -3.813
DOS(E_F) (states/eV/cell): 8.89

=====

[2]
Density functional theory data (PBE-GGA) for an optimized crystal structure of Rb2SiSe.

a b c (Å): 5.8960 5.8960 5.8960
angles (deg): 60.00 60.00 60.00
With the nearest neighbours (Å) after each atom.
Fractional coordinates of all 4 atoms:
Si 0.0000 0.0000 0.0000  8 Rb 3.61
Rb 0.2500 0.2500 0.2500  4 Se 3.61, 4 Si 3.61
Rb 0.7500 0.7500 0.7500  4 Se 3.61, 4 Si 3.61
Se 0.5000 0.5000 0.5000  8 Rb 3.61

Results
Energy above the most stable polymorph in this dataset (meV per atom): 184
Energy relative to the elements, uncorrected (eV/atom): 0.11
SG: Fm-3m, No. 225
V (A^3/atom): 36.23
DFT total energy (eV per atom): -2.601
DOS(E_F) (states/eV/cell): 3.69

=====

[3]
Density functional theory data (PBE-GGA) for an optimized crystal structure of Rb3SiSe4.

a b c (Å): 7.5584 10.6358 15.0967
angles (deg): 90.00 90.00 90.00
With the nearest neighbours (Å) after each atom.
Fractional coordinates of all 32 atoms:
Si 0.2567 0.7500 0.3864  4 Se 2.27-2.30
Si 0.2433 0.7500 0.8864  4 Se 2.27-2.30
Si 0.7433 0.2500 0.6136  4 Se 2.27-2.30
Si 0.7567 0.2500 0.1136  4 Se 2.27-2.30
Se 0.9581 0.2500 0.0019  1 Si 2.27
Se 0.1173 0.7500 0.7496  1 Si 2.27
Se 0.3827 0.7500 0.2496  1 Si 2.27
Se 0.5419 0.2500 0.5019  1 Si 2.27
Se 0.4069 0.5682 0.8909  1 Si 2.30
Se 0.4069 0.9318 0.8909  1 Si 2.30
Se 0.5931 0.4318 0.1091  1 Si 2.30
Se 0.9069 0.4318 0.6091  1 Si 2.30
Se 0.9069 0.0682 0.6091  1 Si 2.30
Se 0.4581 0.7500 0.4981  1 Si 2.27
Se 0.0419 0.7500 0.9981  1 Si 2.27
Se 0.5931 0.0682 0.1091  1 Si 2.30
Se 0.8827 0.2500 0.2504  1 Si 2.27
Se 0.0931 0.9318 0.3909  1 Si 2.30
Se 0.0931 0.5682 0.3909  1 Si 2.30
Se 0.6173 0.2500 0.7504  1 Si 2.27
Rb 0.3717 0.5001 0.6451  6 Se 3.52-3.79, 1 Si 3.90
Rb 0.1283 0.9999 0.1451  6 Se 3.52-3.79, 1 Si 3.90
Rb 0.6283 0.4999 0.3549  6 Se 3.52-3.79, 1 Si 3.90
Rb 0.8918 0.7500 0.5559  6 Se 3.38-3.50, 1 Si 3.76
Rb 0.8717 0.0001 0.8549  6 Se 3.52-3.79, 1 Si 3.90
Rb 0.3918 0.2500 0.9441  6 Se 3.38-3.50, 1 Si 3.76
Rb 0.1082 0.2500 0.4441  6 Se 3.38-3.50, 1 Si 3.76
Rb 0.8717 0.4999 0.8549  6 Se 3.52-3.79, 1 Si 3.90
Rb 0.3717 0.9999 0.6451  6 Se 3.52-3.79, 1 Si 3.90
Rb 0.6283 0.0001 0.3549  6 Se 3.52-3.79, 1 Si 3.90
Rb 0.1283 0.5001 0.1451  6 Se 3.52-3.79, 1 Si 3.90
Rb 0.6082 0.7500 0.0559  6 Se 3.38-3.50, 1 Si 3.76

Results
Energy above the most stable polymorph in this dataset (meV per atom): 13
Energy relative to the elements, uncorrected (eV/atom): -0.91
SG: Pnma, No. 62
V (A^3/atom): 37.93
DFT total energy (eV per atom): -3.695
DOS(E_F) (states/eV/cell): 29.01